1.
First-principles (GGA-PBE) data for crystalline CrFeAg4 at its relaxed geometry, as listed in the Alexandria database.

The value obtained for the spin magnetization is 7.6 μB/f.u. The energy of formation from the pure elements is 644 meV per atom.

The space group is F-43m (No. 216) and the conventional cell measures 7.636, 7.636 and 7.636 Å, with angles of 90.00, 90.00 and 90.00 degrees. The asymmetric unit holds Cr at (0.000, 0.000, 0.000), Fe at (0.250, 0.250, 0.250) and Ag at (0.125, 0.125, 0.625).

---

2.
First-principles (GGA-PBE) data for crystalline CrFeAg2I at its relaxed geometry, as listed in the Alexandria database.

The total energy comes out at -4.034 eV per atom. The value obtained for the spin magnetization is 2.3 μB/f.u.

The space group is P4/mmm (No. 123) and the conventional cell measures 4.988, 4.988 and 4.926 Å, with angles of 90.00, 90.00 and 90.00 degrees. The asymmetric unit holds Cr at (0.000, 0.000, 0.000), Fe at (0.500, 0.500, 0.500), Ag at (0.000, 0.500, 0.500) and I at (0.500, 0.500, 0.000).

---

3.
First-principles (GGA-PBE) data for crystalline CrFe2AgN at its relaxed geometry, as listed in the Alexandria database.

The total energy comes out at -7.487 eV per atom. The value obtained for the spin magnetization is 6.5 μB/f.u.

The space group is P4/mmm (No. 123) and the conventional cell measures 3.922, 3.922 and 3.863 Å, with angles of 90.00, 90.00 and 90.00 degrees. The asymmetric unit holds Cr at (0.000, 0.000, 0.000), Fe at (0.000, 0.500, 0.500), Ag at (0.500, 0.500, 0.000) and N at (0.000, 0.000, 0.500).

---

4.
First-principles (GGA-PBE) data for crystalline Cr2FeAgN at its relaxed geometry, as listed in the Alexandria database.

The offset from the most stable computed form is 0.00 eV per formula unit. The value obtained for the spin magnetization is 1.7 μB/f.u.

The space group is P4/mmm (No. 123) and the conventional cell measures 3.931, 3.931 and 3.907 Å, with angles of 90.00, 90.00 and 90.00 degrees. The asymmetric unit holds Cr at (0.000, 0.500, 0.000), Fe at (0.000, 0.000, 0.500), Ag at (0.500, 0.500, 0.500) and N at (0.000, 0.000, 0.000).